# 1
The following is a DFT calculation (meta-GGA SCAN) of a crystal of LiLa2In relaxed with PBEsol.

Properties
symmetry: Imm2, No. 44
calculated density: 6.09 g/cm3
formation enthalpy at 0 K: -0.345 eV per atom
M_tot: 0.00 μB per cell

Cell: 3.8172 5.3295 6.2784 Å, 115.08 107.70 90.00°
Closest atoms and distances in Å follow each position.
Fractional positions:
Li: 0.4697 0.4696 0.9394  2 In 2.75
In: 0.7853 0.2854 0.5707  2 Li 2.75
La: 0.2346 0.7347 0.4692  4 In 3.32, 4 Li 3.42-3.67, 4 La 3.52-3.59
La: 0.0104 0.0102 0.0207  4 Li 3.31, 4 In 3.51-3.59, 4 La 3.52-3.59



# 2
The following is a DFT calculation (meta-GGA SCAN) of a crystal of AlWAu2 relaxed with PBEsol.

Properties
symmetry: I-4m2, No. 119
calculated density: 15.65 g/cm3
formation enthalpy at 0 K: 0.319 eV per atom
M_tot: 0.00 μB per cell

Cell: 4.0107 4.0107 4.8936 Å, 114.19 114.19 90.00°
Closest atoms and distances in Å follow each position.
Fractional positions:
Al: 0.2500 0.7500 0.5000  8 Au 2.83-2.84, 4 W 2.83
Au: 0.7500 0.2500 0.5000  4 W 2.83, 4 Au 2.83, 4 Al 2.84
Au: 0.0000 0.0000 0.0000  4 Al 2.83, 4 Au 2.83, 4 W 2.84
W: 0.5000 0.5000 0.0000  4 Al 2.83, 8 Au 2.83-2.84



# 3
The following is a DFT calculation (meta-GGA SCAN) of a crystal of K2NaLaRe relaxed with PBEsol.

Properties
symmetry: P4/mmm, No. 123
calculated density: 3.25 g/cm3
formation enthalpy at 0 K: 0.871 eV per atom
M_tot: 0.64 μB per cell

Cell: 4.9743 6.6198 6.6198 Å, 90.00 90.00 90.00°
Closest atoms and distances in Å follow each position.
Fractional positions:
K: 0.0000 0.0000 0.5000  2 Re 3.31
K: 0.0000 0.5000 0.0000  2 Re 3.31
La: 0.5000 0.0000 0.0000  2 Re 2.49
Na: 0.5000 0.5000 0.5000  8 K 4.14
Re: 0.0000 0.0000 0.0000  2 La 2.49



# 4
The following is a DFT calculation (meta-GGA SCAN) of a crystal of BaSrRu2 relaxed with PBEsol.

Properties
symmetry: F-43m, No. 216
calculated density: 7.82 g/cm3
formation enthalpy at 0 K: 0.966 eV per atom
M_tot: 3.52 μB per cell

Cell: 5.0429 5.0429 5.0429 Å, 60.00 60.00 60.00°
Closest atoms and distances in Å follow each position.
Fractional positions:
Sr: 0.2500 0.2500 0.2500  4 Ba 3.09, 4 Ru 3.09
Ru: 0.7500 0.7500 0.7500  4 Ba 3.09, 4 Ru 3.09
Ru: 0.0000 0.0000 0.0000  4 Ru 3.09, 4 Sr 3.09
Ba: 0.5000 0.5000 0.5000  4 Ru 3.09, 4 Sr 3.09



# 5
The following is a DFT calculation (meta-GGA SCAN) of a crystal of TlPOs2 relaxed with PBEsol.

Properties
symmetry: Pmmm, No. 47
calculated density: 15.99 g/cm3
formation enthalpy at 0 K: 1.236 eV per atom
M_tot: 0.00 μB per cell
energy above the lowest structure with this stoichiometry: 0.530 eV per atom

Cell: 2.9601 4.3394 4.9802 Å, 90.00 90.00 90.00°
Closest atoms and distances in Å follow each position.
Fractional positions:
Os: 0.0000 0.0000 0.0000  4 P 2.63, 4 Os 2.90
Os: 0.5000 0.0000 0.5000  4 Tl 2.63, 4 Os 2.90
P: 0.5000 0.5000 0.0000  4 Os 2.63, 4 Tl 2.90
Tl: 0.0000 0.5000 0.5000  4 Os 2.63, 4 P 2.90



# 6
The following is a DFT calculation (meta-GGA SCAN) of a crystal of TaIn2W relaxed with PBEsol.

Properties
symmetry: Immm, No. 71
calculated density: 13.46 g/cm3
formation enthalpy at 0 K: 0.426 eV per atom
M_tot: 0.00 μB per cell
energy above the lowest structure with this stoichiometry: 0.066 eV per atom

Cell: 3.4594 4.6006 5.4340 Å, 115.04 108.56 90.00°
Closest atoms and distances in Å follow each position.
Fractional positions:
W: 0.0000 0.5000 0.0000  4 In 2.85, 4 Ta 2.88
Ta: 0.5000 0.0000 0.0000  4 W 2.88, 4 In 2.91
In: 0.2542 0.2542 0.5083  2 W 2.85, 4 In 2.88, 2 Ta 2.91
In: 0.7458 0.7458 0.4917  2 W 2.85, 4 In 2.88, 2 Ta 2.91



# 7
The following is a DFT calculation (meta-GGA SCAN) of a crystal of AgHg2Pt relaxed with PBEsol.

Properties
symmetry: Imm2, No. 44
calculated density: 16.36 g/cm3
formation enthalpy at 0 K: 0.092 eV per atom
M_tot: 0.00 μB per cell
energy above the lowest structure with this stoichiometry: 0.004 eV per atom

Cell: 3.9712 4.0179 5.2964 Å, 112.29 112.02 90.00°
Closest atoms and distances in Å follow each position.
Fractional positions:
Ag: 0.2498 0.7498 0.4997  8 Hg 2.82-3.01, 4 Pt 2.99-3.01
Hg: 0.0000 0.0000 0.0001  4 Pt 2.82, 4 Ag 2.99-3.01, 4 Hg 3.00-3.01
Hg: 0.7504 0.2504 0.5007  4 Ag 2.82, 4 Pt 2.99-3.01, 4 Hg 3.00-3.01
Pt: 0.4998 0.4998 0.9995  8 Hg 2.82-3.01, 4 Ag 2.99-3.01



# 8
The following is a DFT calculation (meta-GGA SCAN) of a crystal of Sc2PtAu relaxed with PBEsol.

Properties
symmetry: Pmm2, No. 25
calculated density: 11.09 g/cm3
formation enthalpy at 0 K: -1.254 eV per atom
M_tot: 0.00 μB per cell

Cell: 3.2564 4.6861 4.7271 Å, 90.00 90.00 90.00°
Closest atoms and distances in Å follow each position.
Fractional positions:
Pt: 0.5000 0.5000 0.1467  8 Sc 2.83-2.91
Sc: 0.0000 0.5000 0.6357  4 Pt 2.83-2.91, 4 Au 2.86
Sc: 0.0000 0.0000 0.1141  4 Au 2.83-2.91, 4 Pt 2.86
Au: 0.5000 0.0000 0.6036  8 Sc 2.83-2.91



no.,density of states at the Fermi level (states/eV per cell)
1,3.1
2,4.9
3,3.9
4,2.7
5,4.3
6,2.2
7,1.3
8,2.2